# TlCuHg2 GGA-PBE relaxed
# * ΔH_f (0 K): 0.260 eV/atom
# * SG: P4/mmm (123)
# * VASP energy: -1.506 eV/atom
data_TlCuHg2
_symmetry_space_group_name_H-M 'P 1'
_symmetry_Int_Tables_number 1
_cell_length_a 5.060
_cell_length_b 4.297
_cell_length_c 4.297
_cell_angle_alpha 90.00
_cell_angle_beta 90.00
_cell_angle_gamma 90.00
loop_
_symmetry_equiv_pos_as_xyz
'x,y,z'
loop_
_atom_site_label
_atom_site_fract_x
_atom_site_fract_y
_atom_site_fract_z
Hg1 0.000 0.500 0.500
Hg2 0.000 0.000 0.000
Tl1 0.500 0.500 0.000
Cu1 0.500 0.000 0.500

# BeOs GGA-PBE relaxed
# * ΔH_f (0 K): 0.295 eV/atom
# * SG: P6_3/mmc (194)
# * VASP energy: -7.183 eV/atom
data_BeOs
_symmetry_space_group_name_H-M 'P 1'
_symmetry_Int_Tables_number 1
_cell_length_a 3.230
_cell_length_b 3.230
_cell_length_c 9.899
_cell_angle_alpha 90.00
_cell_angle_beta 90.00
_cell_angle_gamma 120.00
loop_
_symmetry_equiv_pos_as_xyz
'x,y,z'
loop_
_atom_site_label
_atom_site_fract_x
_atom_site_fract_y
_atom_site_fract_z
Be1 0.667 0.333 0.250
Be2 0.000 0.000 0.750
Be3 0.000 0.000 0.250
Be4 0.333 0.667 0.750
Os1 0.333 0.667 0.395
Os2 0.333 0.667 0.105
Os3 0.667 0.333 0.895
Os4 0.667 0.333 0.605

# HfAlIr2 GGA-PBE relaxed
# * ΔH_f (0 K): -0.916 eV/atom
# * SG: Fm-3m (225)
# * VASP energy: -8.770 eV/atom
data_HfAlIr2
_symmetry_space_group_name_H-M 'P 1'
_symmetry_Int_Tables_number 1
_cell_length_a 4.483
_cell_length_b 4.483
_cell_length_c 4.483
_cell_angle_alpha 60.00
_cell_angle_beta 60.00
_cell_angle_gamma 60.00
loop_
_symmetry_equiv_pos_as_xyz
'x,y,z'
loop_
_atom_site_label
_atom_site_fract_x
_atom_site_fract_y
_atom_site_fract_z
Al1 0.000 0.000 0.000
Hf1 0.500 0.500 0.500
Ir1 0.250 0.250 0.250
Ir2 0.750 0.750 0.750

# Zr6Ga3O GGA-PBE relaxed
# * ΔE_f (raw): -771 kJ/mol of formula units
# * SG: Cmc2_1 (36)
# * VASP energy: -7.332 eV/atom
data_Zr6Ga3O
_symmetry_space_group_name_H-M 'P 1'
_symmetry_Int_Tables_number 1
_cell_length_a 5.708
_cell_length_b 8.404
_cell_length_c 8.404
_cell_angle_alpha 100.66
_cell_angle_beta 90.00
_cell_angle_gamma 90.00
loop_
_symmetry_equiv_pos_as_xyz
'x,y,z'
loop_
_atom_site_label
_atom_site_fract_x
_atom_site_fract_y
_atom_site_fract_z
Ga1 0.021 0.767 0.002
Ga2 0.021 0.998 0.233
Ga3 0.399 0.480 0.520
Ga4 0.899 0.520 0.480
Ga5 0.521 0.002 0.767
Ga6 0.521 0.233 0.998
Zr1 0.722 0.879 0.461
Zr2 0.174 0.776 0.682
Zr3 0.710 0.307 0.693
Zr4 0.991 0.089 0.911
Zr5 0.674 0.682 0.776
Zr6 0.491 0.911 0.089
Zr7 0.674 0.224 0.318
Zr8 0.210 0.693 0.307
Zr9 0.174 0.318 0.224
Zr10 0.222 0.121 0.539
Zr11 0.722 0.539 0.121
Zr12 0.222 0.461 0.879
O1 0.053 0.253 0.747
O2 0.553 0.747 0.253

# Dy9Y4Cd11 GGA-PBE relaxed
# * ΔH_f (0 K): -0.241 eV/atom
# * SG: Cmmm (65)
# * VASP energy: -3.464 eV/atom
data_Dy9Y4Cd11
_symmetry_space_group_name_H-M 'P 1'
_symmetry_Int_Tables_number 1
_cell_length_a 3.513
_cell_length_b 13.897
_cell_length_c 13.897
_cell_angle_alpha 109.31
_cell_angle_beta 90.00
_cell_angle_gamma 90.00
loop_
_symmetry_equiv_pos_as_xyz
'x,y,z'
loop_
_atom_site_label
_atom_site_fract_x
_atom_site_fract_y
_atom_site_fract_z
Dy1 0.500 0.982 0.794
Dy2 0.500 0.018 0.206
Dy3 0.500 0.794 0.982
Dy4 0.500 0.382 0.845
Dy5 0.500 0.206 0.018
Dy6 0.500 0.500 0.500
Dy7 0.500 0.845 0.382
Dy8 0.500 0.618 0.155
Dy9 0.500 0.155 0.618
Y1 0.500 0.750 0.583
Y2 0.500 0.583 0.750
Y3 0.500 0.417 0.250
Y4 0.500 0.250 0.417
Cd1 0.000 0.787 0.787
Cd2 0.000 0.412 0.049
Cd3 0.000 0.371 0.629
Cd4 0.000 0.049 0.412
Cd5 0.000 0.181 0.819
Cd6 0.000 0.819 0.181
Cd7 0.000 0.629 0.371
Cd8 0.000 0.588 0.951
Cd9 0.000 0.951 0.588
Cd10 0.000 0.000 0.000
Cd11 0.000 0.213 0.213

# Ba6Te2PtI3 GGA-PBE relaxed
# * ΔE_f (raw): -1643 kJ/mol of formula units
# * SG: C2/m (12)
# * VASP energy: -3.795 eV/atom
data_Ba6Te2PtI3
_symmetry_space_group_name_H-M 'P 1'
_symmetry_Int_Tables_number 1
_cell_length_a 8.643
_cell_length_b 8.643
_cell_length_c 8.787
_cell_angle_alpha 99.45
_cell_angle_beta 99.45
_cell_angle_gamma 119.85
loop_
_symmetry_equiv_pos_as_xyz
'x,y,z'
loop_
_atom_site_label
_atom_site_fract_x
_atom_site_fract_y
_atom_site_fract_z
Ba1 0.375 0.071 0.212
Ba2 0.768 0.768 0.216
Ba3 0.232 0.232 0.784
Ba4 0.929 0.625 0.788
Ba5 0.625 0.929 0.788
Ba6 0.071 0.375 0.212
Te1 0.666 0.334 0.000
Te2 0.334 0.666 0.000
Pt1 0.000 0.000 0.000
I1 0.500 0.500 0.500
I2 0.822 0.178 0.500
I3 0.178 0.822 0.500

# LaAlCuTc2 GGA-PBE relaxed
# * ΔH_f (0 K): 1.200 eV/atom
# * SG: P4/mmm (123)
# * VASP energy: -5.500 eV/atom
data_LaAlCuTc2
_symmetry_space_group_name_H-M 'P 1'
_symmetry_Int_Tables_number 1
_cell_length_a 4.563
_cell_length_b 5.430
_cell_length_c 4.563
_cell_angle_alpha 90.00
_cell_angle_beta 90.00
_cell_angle_gamma 90.00
loop_
_symmetry_equiv_pos_as_xyz
'x,y,z'
loop_
_atom_site_label
_atom_site_fract_x
_atom_site_fract_y
_atom_site_fract_z
Tc1 0.000 0.000 0.500
Tc2 0.500 0.000 0.000
Cu1 0.500 0.500 0.500
La1 0.000 0.500 0.000
Al1 0.000 0.000 0.000

# Zr6Zn2H GGA-PBE relaxed
# * SG: P2_1/c (14)
# * VASP energy: -6.473 eV/atom
data_Zr6Zn2H
_symmetry_space_group_name_H-M 'P 1'
_symmetry_Int_Tables_number 1
_cell_length_a 5.903
_cell_length_b 6.050
_cell_length_c 9.647
_cell_angle_alpha 90.00
_cell_angle_beta 90.86
_cell_angle_gamma 90.00
loop_
_symmetry_equiv_pos_as_xyz
'x,y,z'
loop_
_atom_site_label
_atom_site_fract_x
_atom_site_fract_y
_atom_site_fract_z
Zr1 0.145 0.015 0.748
Zr2 0.855 0.985 0.252
Zr3 0.631 0.201 0.964
Zr4 0.645 0.485 0.248
Zr5 0.116 0.261 0.033
Zr6 0.355 0.515 0.752
Zr7 0.616 0.239 0.533
Zr8 0.369 0.799 0.036
Zr9 0.869 0.701 0.536
Zr10 0.884 0.739 0.967
Zr11 0.384 0.761 0.467
Zr12 0.131 0.299 0.464
Zn1 0.118 0.589 0.243
Zn2 0.882 0.411 0.757
Zn3 0.382 0.089 0.257
Zn4 0.618 0.911 0.743
H1 0.000 0.000 0.500
H2 0.500 0.500 0.000

Among the records above, which one has the lowest VASP energy?
HfAlIr2